(1)
The following is a DFT calculation (PBE) of Tm2Mg3Cd3 after structural relaxation.

The structure belongs to space group Pmmm (No. 47); the cell edges are 4.540, 4.826 and 8.687 Å and the angles 90.00°, 90.00° and 90.00°. Symmetry generates all atoms from Tm at (0.000, 0.000, 0.248), Mg at (0.000, 0.500, 0.500), Mg at (0.500, 0.500, 0.244), Cd at (0.000, 0.500, 0.000), Cd at (0.500, 0.000, 0.000) and Cd at (0.500, 0.000, 0.500).

The calculation puts the energy above the most stable polymorph in this dataset at 39 kJ/mol of formula units.

***

(2)
The following is a DFT calculation (PBE) of Tm4Mg5Cd after structural relaxation.

The structure belongs to space group P4/mmm (No. 123); the cell edges are 3.734, 3.734 and 18.191 Å and the angles 90.00°, 90.00° and 90.00°. Symmetry generates all atoms from Tm at (0.000, 0.000, 0.104), Tm at (0.000, 0.000, 0.305), Mg at (0.500, 0.500, 0.000), Mg at (0.500, 0.500, 0.205), Mg at (0.500, 0.500, 0.413) and Cd at (0.000, 0.000, 0.500).

***

(3)
The following is a DFT calculation (PBE) of TmMg2Cd2 after structural relaxation.

The structure belongs to space group P4/mbm (No. 127); the cell edges are 8.545, 8.545 and 3.140 Å and the angles 90.00°, 90.00° and 90.00°. Symmetry generates all atoms from Tm at (0.000, 0.000, 0.000), Mg at (0.125, 0.375, 0.000) and Cd at (0.174, 0.674, 0.500).

The calculation puts the energy above the most stable polymorph in this dataset at 10 kJ/mol of formula units.

***

(4)
The following is a DFT calculation (PBE) of TmMg2Cd2 after structural relaxation.

The structure belongs to space group C2/m (No. 12); the cell edges are 13.891, 4.263 and 4.263 Å and the angles 90.00°, 107.64° and 90.00°. Symmetry generates all atoms from Tm at (0.000, 0.000, 0.000), Mg at (0.250, 0.000, 0.751) and Cd at (0.104, 0.500, 0.604).

The calculation puts the energy above the most stable polymorph in this dataset at 0 kJ/mol of formula units.

***

no.,energy relative to the elements (eV/atom),total magnetization (μB/atom)
1,-0.1805,0.000
2,-0.0762,0.000
3,-0.0950,0.000
4,-0.1148,0.000